[1]
Density functional theory data (GGA-PBE) for crystalline SrCaAg2 at its relaxed geometry.

```
SrCaAg2
1.0
4.354 0.000 0.000
2.177 3.771 0.000
2.177 1.257 7.848
Sr Ca Ag
1 1 2
Direct
0.497 0.497 0.508
0.669 0.669 0.992
0.079 0.079 0.764
0.255 0.255 0.236
```

## Properties
final energy: -2.482 eV per atom
crystal system: trigonal
theoretical density: 4.43 Mg/m³
energy of formation: -136 meV per atom

[2]
Density functional theory data (GGA-PBE) for crystalline La3Tb6Y at its relaxed geometry.

```
La3Tb6Y
1.0
-9.917 0.101 1.091
-5.197 -8.475 -0.837
-4.623 -3.425 3.917
La Tb Y
3 6 1
Direct
0.350 0.350 0.949
0.598 0.598 0.207
0.103 0.103 0.691
0.924 0.605 0.196
0.276 0.924 0.196
0.605 0.276 0.196
0.095 0.424 0.705
0.776 0.095 0.705
0.424 0.776 0.705
0.850 0.850 0.449
```

## Properties
final energy: -4.629 eV per atom
energy above the most stable polymorph in this dataset: 124 meV per atom
crystal system: trigonal
theoretical density: 7.20 Mg/m³
energy of formation: 274 meV per atom

[3]
Density functional theory data (GGA-PBE) for crystalline LaHf2ZrCu at its relaxed geometry.

```
LaHf2ZrCu
1.0
5.001 0.000 0.000
0.000 5.001 0.000
0.000 0.000 5.240
Hf Cu Zr La
2 1 1 1
Direct
0.000 0.500 0.000
0.500 0.000 0.000
0.000 0.000 0.000
0.500 0.500 0.500
0.000 0.000 0.500
```

## Properties
final energy: -6.879 eV per atom
crystal system: tetragonal
theoretical density: 8.24 Mg/m³
energy of formation: 617 meV per atom

[4]
Density functional theory data (GGA-PBE) for crystalline SmDyThCd at its relaxed geometry.

```
SmDyThCd
1.0
-1.209 -4.631 2.711
0.479 -4.866 -2.519
4.017 -3.465 1.452
Cd Sm Th Dy
1 1 1 1
Direct
0.750 0.750 0.750
0.500 0.500 0.500
0.250 0.250 0.250
0.000 0.000 0.000
```

## Properties
final energy: -4.322 eV per atom
energy above the most stable polymorph in this dataset: 258 meV per atom
crystal system: cubic
theoretical density: 9.28 Mg/m³
energy of formation: 92 meV per atom

[5]
Density functional theory data (GGA-PBE) for crystalline Nd2Y3Si2 at its relaxed geometry.

```
Nd2Y3Si2
1.0
4.098 -0.001 -0.919
-2.503 5.619 -1.567
-0.236 0.075 8.543
Nd Y Si
2 3 2
Direct
0.657 0.503 0.811
0.343 0.497 0.189
0.500 0.000 0.000
0.185 0.812 0.558
0.815 0.188 0.442
0.048 0.882 0.213
0.952 0.118 0.787
```

## Properties
final energy: -6.145 eV per atom
ΔE_f (raw): -463 meV per atom
crystal system: monoclinic
theoretical density: 5.18 Mg/m³

[6]
Density functional theory data (GGA-PBE) for crystalline Li2TbTm2Sb2 at its relaxed geometry.

```
Li2TbTm2Sb2
1.0
-3.089 -0.781 -3.474
-2.858 -3.744 0.186
-7.952 3.258 3.140
Li Tb Tm Sb
2 1 2 2
Direct
0.592 0.592 0.225
0.408 0.408 0.775
0.000 0.000 0.000
0.131 0.131 0.606
0.869 0.869 0.394
0.736 0.736 0.792
0.264 0.264 0.208
```

## Properties
final energy: -4.179 eV per atom
ΔE_f (raw): -515 meV per atom
crystal system: trigonal
theoretical density: 7.45 Mg/m³